# 1
Computed, not measured: a relaxed YTlGe2 crystal at the PBEsol level of DFT.

Unit cell a=5.041 b=5.041 c=5.041 alpha=60.00 beta=60.00 gamma=60.00
Fractional coordinates of all 4 atoms:
Y: 0.000 0.000 0.000
Tl: 0.500 0.500 0.500
Ge: 0.250 0.250 0.250
Ge: 0.750 0.750 0.750

## Properties
- size of the total moment (μB/atom) = 0.00
- ΔE_f (eV per formula unit) = -0.39

# 2
Computed, not measured: a relaxed MgSbPt2 crystal at the PBEsol level of DFT.

Unit cell a=5.135 b=5.135 c=5.135 alpha=134.56 beta=134.56 gamma=66.21
Fractional coordinates of all 4 atoms:
Mg: 0.000 0.000 0.000
Sb: 0.250 0.750 0.500
Pt: 0.500 0.500 0.000
Pt: 0.750 0.250 0.500

## Properties
- size of the total moment (μB/atom) = 0.00
- raw formation energy (eV/atom) = -0.484

# 3
Computed, not measured: a relaxed Bi2RuRhSe crystal at the PBEsol level of DFT.

Unit cell a=5.281 b=5.281 c=4.491 alpha=90.00 beta=90.00 gamma=90.00
Fractional coordinates of all 5 atoms:
Bi: 0.000 0.500 0.000
Bi: 0.500 0.000 0.000
Ru: 0.000 0.000 0.500
Rh: 0.500 0.500 0.000
Se: 0.500 0.500 0.500

## Properties
- size of the total moment (μB/atom) = 0.35
- raw formation energy (eV/atom) = 0.979

# 4
Computed, not measured: a relaxed CuBiSeO crystal at the PBEsol level of DFT.

Unit cell a=3.893 b=3.893 c=8.863 alpha=90.00 beta=90.00 gamma=90.00
Fractional coordinates of all 8 atoms:
Cu: 0.250 0.750 0.000
Cu: 0.750 0.250 0.000
Bi: 0.250 0.250 0.357
Bi: 0.750 0.750 0.643
Se: 0.250 0.250 0.826
Se: 0.750 0.750 0.174
O: 0.250 0.750 0.500
O: 0.750 0.250 0.500

## Properties
- size of the total moment (μB/atom) = 0.00
- raw formation energy (eV/atom) = -0.693